{"formula": "SrPPtCl2", "functional": "PBE", "state": "relaxed", "magmom_total_mub_per_cell": 0.00, "total_energy_ev_per_atom": -4.076, "polymorph_energy_ev_per_atom": 0.000, "e_form_raw_ev_per_fu": -3.55, "lattice_angstrom": [[5.1480, 0.0000, 0.0000], [0.0000, 5.1480, 0.0000], [0.0000, 0.0000, 4.6153]], "species": ["Sr", "P", "Pt", "Cl", "Cl"], "fractional_positions": [[0.0000, 0.0000, 0.0000], [0.5000, 0.5000, 0.0000], [0.5000, 0.5000, 0.5000], [0.0000, 0.5000, 0.5000], [0.5000, 0.0000, 0.5000]]}

---

{"formula": "SrPPtCl2", "functional": "PBE", "state": "relaxed", "magmom_total_mub_per_cell": 2.39, "total_energy_ev_per_atom": -3.070, "polymorph_energy_ev_per_atom": 1.005, "e_form_raw_ev_per_fu": 1.47, "lattice_angstrom": [[5.3702, 0.0000, 0.0000], [0.0000, 5.3702, 0.0000], [0.0000, 0.0000, 6.3594]], "species": ["Sr", "P", "Pt", "Cl", "Cl"], "fractional_positions": [[0.0000, 0.0000, 0.0000], [0.0000, 0.0000, 0.5000], [0.5000, 0.5000, 0.5000], [0.0000, 0.5000, 0.0000], [0.5000, 0.0000, 0.0000]]}